Entry 1:
Sr3PPt after structural relaxation. Source: Alexandria, functional GGA-PBE.

crystal system = cubic
ΔE_f = -2.2 eV per formula unit
symmetry = Pm-3m (221)
distance to the lowest polymorph of the same formula = 0.000 eV/atom

```
Sr3PPt
1.0
5.695 0.000 0.000
0.000 5.695 0.000
0.000 0.000 5.695
Sr P Pt
3 1 1
Cartesian
0.000 0.000 2.848 Sr
0.000 2.848 0.000 Sr
2.848 0.000 0.000 Sr
0.000 0.000 0.000 P
2.848 2.848 2.848 Pt
```

---

Entry 2:
TbIn3Hg6 after structural relaxation. Source: Alexandria, functional GGA-PBE.

crystal system = trigonal
ΔE_f = -1.2 eV per formula unit
symmetry = R-3 (148)
distance to the lowest polymorph of the same formula = 0.010 eV/atom

```
TbIn3Hg6
1.0
6.818 3.936 3.303
-6.818 3.936 3.303
0.000 -7.873 3.303
Tb In Hg
2 6 12
Cartesian
0.000 0.000 0.000 Tb
0.000 0.000 4.955 Tb
-1.119 -1.935 2.476 In
-1.116 1.937 2.476 In
2.235 -0.002 2.476 In
-2.235 0.002 7.433 In
1.116 -1.937 7.433 In
1.119 1.935 7.433 In
-5.586 1.107 3.980 Hg
-3.752 -4.285 5.929 Hg
-3.067 -0.354 4.288 Hg
1.835 -5.391 3.980 Hg
-1.227 -2.833 5.622 Hg
1.840 -2.479 4.288 Hg
-1.840 2.479 5.622 Hg
1.227 2.833 4.288 Hg
-1.835 5.391 5.929 Hg
3.067 0.354 5.622 Hg
3.752 4.285 3.980 Hg
5.586 -1.107 5.929 Hg
```

---

Entry 3:
TlCd3 after structural relaxation. Source: Alexandria, functional GGA-PBE.

crystal system = monoclinic
ΔE_f = 0.1 eV per formula unit
symmetry = C2/m (12)

```
TlCd3
1.0
5.220 -3.060 0.000
5.220 3.060 0.000
-3.476 0.000 9.745
Tl Cd
3 9
Cartesian
0.000 0.000 0.000 Tl
0.007 0.000 4.142 Tl
6.957 0.000 5.603 Tl
2.608 1.554 2.470 Cd
3.500 0.000 0.018 Cd
1.706 0.000 7.247 Cd
4.355 1.554 7.275 Cd
3.482 0.000 4.873 Cd
2.608 -1.554 2.470 Cd
5.258 0.000 2.498 Cd
3.464 0.000 9.727 Cd
4.355 -1.554 7.275 Cd
```

---

What did we get for volume? Answer: 36.9, 26.6, 25.9 Å³/atom, in the order shown.